Below is FeNi2Br after structural relaxation, with properties calculated at the GGA-PBE level.

Output
Its uncorrected formation energy is 322 meV per atom. For the total energy, the calculation gives -20.41 eV for the cell shown. For the mass density, the calculation gives 6.68 Mg/m³. As for the crystal system: monoclinic. The offset from the most stable computed form is 19 kJ/mol of formula units.

Geometry as extended XYZ:
```
4
Lattice="3.2140 0.0000 0.0000 0.0000 3.0005 0.0000 -0.0061 0.0000 6.5203" Properties=species:S:1:pos:R:3 pbc="T T T"
Fe 0.0000 0.0000 0.0000
Ni 0.0031 0.0000 2.3577
Ni 1.6061 1.5003 1.1273
Br 3.0989 1.5003 4.4270
```



Below is NpMnTc2 after structural relaxation, with properties calculated at the GGA-PBE level.

Output
For the total energy, the calculation gives -41.85 eV for the cell shown. For the mass density, the calculation gives 12.75 Mg/m³. As for the crystal system: tetragonal. The offset from the most stable computed form is 61 kJ/mol of formula units. The formation energy comes out at 248.6 meV per atom.

Geometry as extended XYZ:
```
4
Lattice="3.2761 0.0000 0.0000 0.0000 3.2761 0.0000 0.0000 0.0000 5.9217" Properties=species:S:1:pos:R:3 pbc="T T T"
Np 0.0000 0.0000 0.0000
Mn 0.0000 0.0000 2.9608
Tc 1.6381 1.6381 1.5073
Tc 1.6381 1.6381 4.4144
```